First-principles (PBE) data for a relaxed ErGa12Cu4 crystal, as listed in Alexandria.

Cell and atoms, written as extended XYZ:
```
17
Lattice="7.444 0.000 0.000 -2.481 7.019 0.000 -2.481 -3.509 6.078" Properties=species:S:1:pos:R:3 pbc="T T T"
Er 0.000 0.000 0.000
Ga 4.952 1.763 1.142
Ga 0.933 2.974 0.955
Ga 4.030 -1.195 3.981
Ga 0.011 -1.639 5.123
Ga -1.549 4.704 2.098
Ga 1.549 0.536 5.123
Ga 2.493 -0.108 2.098
Ga -0.011 3.617 3.981
Ga 2.470 5.148 0.955
Ga 3.414 2.850 3.025
Ga -0.933 0.660 3.053
Ga -2.470 1.747 4.936
Cu -1.241 3.509 0.000
Cu 3.722 0.000 0.000
Cu 1.241 1.755 3.039
Cu -1.241 -1.755 3.039
```

Calculated values
Total magnetic moment in μB per cell: 0.0
Electronic total energy in eV/atom: -3.40
SG: Im-3



First-principles (PBE) data for a relaxed Er3Ga2Cu crystal, as listed in Alexandria.

Cell and atoms, written as extended XYZ:
```
24
Lattice="-2.637 -3.153 -1.292 6.668 -2.141 -8.386 5.808 -7.537 6.542" Properties=species:S:1:pos:R:3 pbc="T T T"
Er 2.091 -1.957 -3.084
Er 7.748 -10.873 -0.052
Er 6.425 -7.613 -5.311
Er 3.414 -5.218 2.176
Er 5.226 -3.916 -4.702
Er 4.613 -8.915 1.566
Er 0.942 -4.900 -0.740
Er 8.897 -7.931 -2.396
Er 4.373 -4.515 -1.500
Er 5.466 -8.316 -1.636
Er 4.971 -5.321 -7.936
Er 4.869 -7.510 4.800
Ga 6.685 -5.889 -2.863
Ga 3.154 -6.941 -0.272
Ga -0.681 -2.874 -2.373
Ga 10.520 -9.957 -0.763
Ga 7.764 -5.270 -6.578
Ga 2.076 -7.561 3.442
Ga 2.376 -4.821 -3.859
Ga 7.463 -8.009 0.723
Cu 0.829 -1.971 -0.475
Cu 9.010 -10.860 -2.660
Cu 4.306 -6.514 -3.668
Cu 5.533 -6.317 0.533
```

Calculated values
Total magnetic moment in μB per cell: 0.0
Electronic total energy in eV/atom: -4.45
SG: Pnma



First-principles (PBE) data for a relaxed ErGa3Cu crystal, as listed in Alexandria.

Cell and atoms, written as extended XYZ:
```
5
Lattice="3.842 -0.001 1.325 -0.458 3.812 1.328 0.034 0.033 6.117" Properties=species:S:1:pos:R:3 pbc="T T T"
Er 1.469 0.801 6.353
Ga 2.057 3.632 4.651
Ga 0.367 1.723 3.323
Ga 2.804 2.309 2.496
Cu -0.286 3.148 5.216
```

Calculated values
Total magnetic moment in μB per cell: 0.0
Electronic total energy in eV/atom: -4.00
SG: I4mm



First-principles (PBE) data for a relaxed Er2Ga3Cu crystal, as listed in Alexandria.

Cell and atoms, written as extended XYZ:
```
6
Lattice="4.363 0.000 0.000 -2.182 3.779 0.000 0.000 0.000 7.121" Properties=species:S:1:pos:R:3 pbc="T T T"
Er 0.000 2.519 5.211
Er 0.000 2.519 1.860
Ga 2.182 1.260 3.414
Ga 2.182 1.260 0.314
Ga 0.000 0.000 6.764
Cu 0.000 0.000 3.799
```

Calculated values
Total magnetic moment in μB per cell: 0.0
Electronic total energy in eV/atom: -4.31
SG: P3m1



First-principles (PBE) data for a relaxed ErGa2Cu crystal, as listed in Alexandria.

Cell and atoms, written as extended XYZ:
```
4
Lattice="4.133 0.000 0.000 2.067 3.579 0.000 2.067 1.193 5.056" Properties=species:S:1:pos:R:3 pbc="T T T"
Cu 4.133 2.386 2.528
Ga 6.200 3.579 3.273
Ga 2.067 1.193 1.782
Er 0.000 0.000 0.000
```

Calculated values
Total magnetic moment in μB per cell: 0.0
Electronic total energy in eV/atom: -4.13
SG: R-3m



First-principles (PBE) data for a relaxed ErGaCu2 crystal, as listed in Alexandria.

Cell and atoms, written as extended XYZ:
```
16
Lattice="-4.855 0.138 2.170 -0.005 -6.500 0.401 3.217 0.440 7.169" Properties=species:S:1:pos:R:3 pbc="T T T"
Er -1.522 -1.552 1.264
Er -2.705 -4.563 5.328
Er -0.120 -4.370 8.476
Er 1.063 -1.360 4.412
Ga -1.894 -1.362 4.333
Ga -0.392 -4.807 1.391
Ga 0.252 -4.560 5.407
Ga -1.250 -1.115 8.349
Cu -3.724 -0.150 3.229
Cu -0.846 -5.954 3.516
Cu 2.084 -3.224 6.354
Cu -0.798 -2.516 6.381
Cu 2.082 -5.772 6.511
Cu -0.796 0.032 6.224
Cu -3.726 -2.698 3.386
Cu -0.844 -3.407 3.359
```

Calculated values
Total magnetic moment in μB per cell: 0.0
Electronic total energy in eV/atom: -4.30
SG: Pnma



First-principles (PBE) data for a relaxed Er4Ga16Cu3 crystal, as listed in Alexandria.

Cell and atoms, written as extended XYZ:
```
23
Lattice="-5.963 -1.479 -0.800 0.540 -4.478 4.248 -2.803 7.075 7.816" Properties=species:S:1:pos:R:3 pbc="T T T"
Er -5.253 4.993 5.932
Er -0.262 -0.896 3.608
Er -2.001 3.493 8.456
Er -3.514 0.604 1.084
Ga -2.155 5.439 6.009
Ga -1.547 -1.700 0.984
Ga -4.955 2.684 7.979
Ga -4.108 -2.334 0.640
Ga -3.271 -1.566 3.284
Ga -3.876 -4.257 2.463
Ga -0.648 1.636 1.807
Ga -5.772 -0.027 7.421
Ga -5.352 0.427 3.453
Ga -3.137 2.868 5.745
Ga -2.191 -1.031 5.907
Ga -1.315 -3.622 2.807
Ga -5.090 -1.750 5.518
Ga -6.035 2.150 5.356
Ga -2.454 1.145 3.842
Ga -2.874 0.692 7.810
Cu -1.132 1.298 6.032
Cu 0.000 0.000 0.000
Cu -4.383 2.798 3.508
```

Calculated values
Total magnetic moment in μB per cell: 0.0
Electronic total energy in eV/atom: -3.81
SG: P4/mmm



First-principles (PBE) data for a relaxed Er3Ga7Cu2 crystal, as listed in Alexandria.

Cell and atoms, written as extended XYZ:
```
12
Lattice="-2.092 -2.542 -2.514 0.983 -3.220 2.437 -11.300 3.587 5.776" Properties=species:S:1:pos:R:3 pbc="T T T"
Er -0.554 -2.881 -0.038
Er -3.981 0.727 2.577
Er -6.336 -0.360 5.636
Ga -5.406 -1.994 3.102
Ga -7.003 -0.181 2.597
Ga -1.326 -1.276 2.394
Ga 0.000 0.000 0.000
Ga -8.991 1.643 5.819
Ga -9.540 -1.234 5.774
Ga -2.869 -0.940 -0.074
Cu -3.442 -2.356 1.834
Cu -8.966 0.181 3.865
```

Calculated values
Total magnetic moment in μB per cell: 0.0
Electronic total energy in eV/atom: -4.09
SG: P2/m